1.
A relaxed Ba12RhAu6 crystal, computed with PBE.

DOS(E_F): 0.48 states/eV/atom
energy of formation from the pure elements: -0.51 eV per atom

CIF file:
```
data_Ba12RhAu6
_chemical_formula_sum 'Ba36 Rh3 Au18'
_cell_length_a 14.5526
_cell_length_b 14.5526
_cell_length_c 13.7495
_cell_angle_alpha 90.00
_cell_angle_beta 90.00
_cell_angle_gamma 120.00
_space_group_name_H-M_alt 'R -3'
_space_group_IT_number 148
_space_group_name_Hall '-R 3'
loop_
_atom_site_label
_atom_site_fract_x
_atom_site_fract_y
_atom_site_fract_z
_atom_site_occupancy
Ba1 0.0269 0.2158 0.3941 1
Ba2 0.0403 0.1953 0.8818 1
Rh1 0.0000 0.0000 0.0000 1
Au1 0.0446 0.2662 0.6443 1
```

2.
A relaxed Rb2Ag2As crystal, computed with PBE.

DOS(E_F): 0.44 states/eV/atom
energy of formation from the pure elements: 0.37 eV per atom
energy relative to the lowest polymorph listed for this composition: 0.380 eV per atom

CIF file:
```
data_Rb2Ag2As
_chemical_formula_sum 'Rb4 Ag4 As2'
_cell_length_a 10.451
_cell_length_b 10.451
_cell_length_c 3.063
_cell_angle_alpha 90.00
_cell_angle_beta 90.00
_cell_angle_gamma 90.00
_space_group_name_H-M_alt 'P 4/m b m'
_space_group_IT_number 127
_space_group_name_Hall '-P 4 2ab'
loop_
_atom_site_label
_atom_site_fract_x
_atom_site_fract_y
_atom_site_fract_z
_atom_site_occupancy
Rb1 0.198 0.302 0.000 1
Ag1 0.093 0.593 0.500 1
As1 0.000 0.000 0.000 1
```

3.
A relaxed La4YTm10 crystal, computed with PBE.

DOS(E_F): 1.58 states/eV/atom
energy of formation from the pure elements: 0.37 eV per atom

CIF file:
```
data_La4YTm10
_chemical_formula_sum 'La8 Y2 Tm20'
_cell_length_a 9.758
_cell_length_b 9.758
_cell_length_c 10.580
_cell_angle_alpha 90.00
_cell_angle_beta 90.00
_cell_angle_gamma 90.00
_space_group_name_H-M_alt 'I 4/m'
_space_group_IT_number 87
_space_group_name_Hall '-I 4'
loop_
_atom_site_label
_atom_site_fract_x
_atom_site_fract_y
_atom_site_fract_z
_atom_site_occupancy
La1 0.069 0.663 0.000 1
Y1 0.000 0.000 0.000 1
Tm1 0.000 0.500 0.250 1
Tm2 0.113 0.791 0.339 1
```

These records have VASP energy values of -3.1429, -2.0917, -4.3519 eV per atom, in the order they appear.
These records have total moment values of 0.0, 0.0, 0.0 μB per formula unit, in the order they appear.